First-principles (GGA+U) data for crystalline Li4Nb3Fe3Sn2O16 at its relaxed geometry, as listed in Alexandria via LeMat-Bulk.

Unit cell a=6.209 b=6.209 c=9.989 alpha=91.52 beta=91.52 gamma=58.45
Atoms (fractional coordinates):
Li: 0.000 0.000 0.000
Li: 0.080 0.080 0.543
Li: 0.412 0.412 0.448
Li: 0.729 0.729 0.933
Nb: 0.253 0.253 0.765
Nb: 0.418 0.919 0.253
Nb: 0.919 0.418 0.253
Fe: 0.250 0.736 0.751
Fe: 0.736 0.250 0.751
Fe: 0.909 0.909 0.263
Sn: 0.422 0.422 0.028
Sn: 0.753 0.753 0.543
O: 0.036 0.585 0.384
O: 0.086 0.086 0.357
O: 0.092 0.092 0.848
O: 0.106 0.557 0.895
O: 0.249 0.762 0.142
O: 0.262 0.262 0.154
O: 0.390 0.390 0.639
O: 0.417 0.923 0.644
O: 0.555 0.555 0.886
O: 0.557 0.106 0.895
O: 0.585 0.036 0.384
O: 0.598 0.598 0.380
O: 0.736 0.736 0.137
O: 0.762 0.249 0.142
O: 0.922 0.922 0.633
O: 0.923 0.417 0.644

Values from the calculation:
The space group is Cm. The calculation puts the final energy at -197.7 eV/f.u.